1.
A plane-wave DFT calculation with PBE was carried out for ScSe2N2 after structural relaxation. Values from VASP.

```
&SYSTEM
  ibrav = 0, nat = 10, ntyp = 3
/
ATOMIC_SPECIES
Sc 44.96 Sc.upf
Se 78.96 Se.upf
N 14.01 N.upf
CELL_PARAMETERS angstrom
7.0560 0.0000 0.0000
0.0000 7.0560 0.0000
0.0000 0.0000 3.2756
ATOMIC_POSITIONS crystal
Sc 0.0000 0.0000 0.0000
Sc 0.5000 0.5000 0.0000
Se 0.1544 0.3456 0.0000
Se 0.3456 0.8456 0.0000
Se 0.6544 0.1544 0.0000
Se 0.8456 0.6544 0.0000
N 0.2345 0.7345 0.5000
N 0.2655 0.2345 0.5000
N 0.7345 0.7655 0.5000
N 0.7655 0.2655 0.5000
```

Values from the calculation:
The final energy is -5.48 eV/atom. The calculation puts the formation energy (no corrections) at 11.8 kcal/mol of atoms. For the offset from the most stable computed form, the calculation gives 0.00 eV per formula unit. The density is 4.7 g/cm³. The volume comes out at 16.3 Å³ per atom. The density of states at the Fermi level comes out at 1.806 states/eV/f.u.

***

2.
A plane-wave DFT calculation with PBE was carried out for Ni2GeI after structural relaxation. Values from VASP.

```
&SYSTEM
  ibrav = 0, nat = 4, ntyp = 3
/
ATOMIC_SPECIES
Ni 58.69 Ni.upf
Ge 72.64 Ge.upf
I 126.90 I.upf
CELL_PARAMETERS angstrom
0.0000 3.2073 3.2073
3.2073 0.0000 3.2073
3.2073 3.2073 0.0000
ATOMIC_POSITIONS crystal
Ni 0.2500 0.2500 0.2500
Ni 0.7500 0.7500 0.7500
Ge 0.0000 0.0000 0.0000
I 0.5000 0.5000 0.5000
```

Values from the calculation:
The final energy is -3.96 eV/atom. The calculation puts the formation energy (no corrections) at 10.8 kcal/mol of atoms. For the offset from the most stable computed form, the calculation gives 0.75 eV per formula unit. The density is 8.0 g/cm³. The volume comes out at 16.5 Å³ per atom. The density of states at the Fermi level comes out at 1.295 states/eV/f.u.

***

3.
A plane-wave DFT calculation with PBE was carried out for SrAcCu2Ge2 after structural relaxation. Values from VASP.

```
&SYSTEM
  ibrav = 0, nat = 6, ntyp = 4
/
ATOMIC_SPECIES
Sr 87.62 Sr.upf
Ac 227.00 Ac.upf
Cu 63.55 Cu.upf
Ge 72.64 Ge.upf
CELL_PARAMETERS angstrom
4.3216 0.0000 0.0000
-2.1608 3.7426 0.0000
0.0000 0.0000 8.9153
ATOMIC_POSITIONS crystal
Sr 0.0000 0.0000 0.0000
Ac 0.0000 0.0000 0.5000
Cu 0.3333 0.6667 0.2497
Cu 0.6667 0.3333 0.7503
Ge 0.3333 0.6667 0.7460
Ge 0.6667 0.3333 0.2540
```

Values from the calculation:
The final energy is -4.39 eV/atom. The density is 6.8 g/cm³. The volume comes out at 24.0 Å³ per atom. The density of states at the Fermi level comes out at 3.837 states/eV/f.u. The formation energy comes out at -0.52 eV/atom.

***

4.
A plane-wave DFT calculation with PBE was carried out for BaCu2Ru after structural relaxation. Values from VASP.

```
&SYSTEM
  ibrav = 0, nat = 4, ntyp = 3
/
ATOMIC_SPECIES
Ba 137.33 Ba.upf
Cu 63.55 Cu.upf
Ru 101.07 Ru.upf
CELL_PARAMETERS angstrom
-2.1082 2.1082 4.2689
2.1082 -2.1082 4.2689
2.1082 2.1082 -4.2689
ATOMIC_POSITIONS crystal
Ba 0.0000 0.0000 0.0000
Cu 0.2500 0.7500 0.5000
Cu 0.7500 0.2500 0.5000
Ru 0.5000 0.5000 0.0000
```

Values from the calculation:
The final energy is -4.08 eV/atom. For the offset from the most stable computed form, the calculation gives 2.26 eV per formula unit. The density is 8.0 g/cm³. The volume comes out at 19.0 Å³ per atom. The density of states at the Fermi level comes out at 4.938 states/eV/f.u. The formation energy comes out at 0.76 eV/atom.

***

5.
A plane-wave DFT calculation with PBE was carried out for Ac2PuO5 after structural relaxation. Values from VASP.

```
&SYSTEM
  ibrav = 0, nat = 32, ntyp = 3
/
ATOMIC_SPECIES
Ac 227.00 Ac.upf
Pu 244.00 Pu.upf
O 16.00 O.upf
CELL_PARAMETERS angstrom
10.3111 0.0000 0.0000
0.0000 7.9272 0.0000
-2.0225 0.0000 6.8887
ATOMIC_POSITIONS crystal
Ac 0.0130 0.1288 0.2420
Ac 0.0130 0.3712 0.7420
Ac 0.3519 0.1258 0.0479
Ac 0.3519 0.3742 0.5479
Ac 0.6481 0.6258 0.4521
Ac 0.6481 0.8742 0.9521
Ac 0.9870 0.6288 0.2580
Ac 0.9870 0.8712 0.7580
Pu 0.3173 0.6044 0.0657
Pu 0.3173 0.8956 0.5657
Pu 0.6827 0.1044 0.4343
Pu 0.6827 0.3956 0.9343
O 0.1035 0.6219 0.9817
O 0.1035 0.8781 0.4817
O 0.1074 0.1177 0.9457
O 0.1074 0.3823 0.4457
O 0.2811 0.0978 0.3572
O 0.2811 0.4022 0.8572
O 0.3151 0.6797 0.3639
O 0.3151 0.8203 0.8639
O 0.4403 0.0979 0.7472
O 0.4403 0.4021 0.2472
O 0.5597 0.5979 0.7528
O 0.5597 0.9021 0.2528
O 0.6849 0.1797 0.1361
O 0.6849 0.3203 0.6361
O 0.7189 0.5978 0.1428
O 0.7189 0.9022 0.6428
O 0.8926 0.6177 0.5543
O 0.8926 0.8823 0.0543
O 0.8965 0.1219 0.5183
O 0.8965 0.3781 0.0183
```

Values from the calculation:
The final energy is -9.11 eV/atom. The calculation puts the formation energy (no corrections) at -73.6 kcal/mol of atoms. The density is 9.2 g/cm³. The volume comes out at 17.6 Å³ per atom. The density of states at the Fermi level comes out at 7.058 states/eV/f.u.

***

6.
A plane-wave DFT calculation with PBE was carried out for TaReSnW2 after structural relaxation. Values from VASP.

```
&SYSTEM
  ibrav = 0, nat = 5, ntyp = 4
/
ATOMIC_SPECIES
Ta 180.95 Ta.upf
Re 186.21 Re.upf
Sn 118.71 Sn.upf
W 183.84 W.upf
CELL_PARAMETERS angstrom
4.8021 0.0000 0.0000
0.0000 4.8021 0.0000
0.0000 0.0000 4.8610
ATOMIC_POSITIONS crystal
Ta 0.0000 0.0000 0.0000
Re 0.0000 0.0000 0.5000
Sn 0.5000 0.5000 0.0000
W 0.0000 0.5000 0.5000
W 0.5000 0.0000 0.5000
```

Values from the calculation:
The final energy is -9.24 eV/atom. The density is 12.6 g/cm³. The volume comes out at 22.4 Å³ per atom. The density of states at the Fermi level comes out at 5.823 states/eV/f.u. The formation energy comes out at 1.60 eV/atom.